# Nd8Dy6In

A relaxed structure of Nd8Dy6In (PBE-GGA, Alexandria).

Cell lengths 6.6000, 9.3469, 9.3469 Å; angles 120.00, 90.00, 90.00 degrees
Last column: nearest neighbours and their distance in Å.
Element x y z (fractional)
Nd 0.8220 0.0415 0.2735  1 In 3.20, 3 Nd 3.32-3.35, 2 Dy 3.33-3.50
Nd 0.8220 0.7265 0.7680  1 In 3.20, 3 Nd 3.32-3.35, 2 Dy 3.33-3.50
Nd 0.8220 0.2320 0.9585  1 In 3.20, 3 Nd 3.32-3.35, 2 Dy 3.33-3.50
Nd 0.1780 0.9585 0.7265  1 In 3.20, 3 Nd 3.32-3.35, 2 Dy 3.33-3.50
Nd 0.1780 0.2735 0.2320  1 In 3.20, 3 Nd 3.32-3.35, 2 Dy 3.33-3.50
Nd 0.1780 0.7680 0.0415  1 In 3.20, 3 Nd 3.32-3.35, 2 Dy 3.33-3.50
Nd 0.8618 0.3333 0.6667  3 Nd 3.32
Nd 0.1382 0.6667 0.3333  3 Nd 3.32
Dy 0.6625 0.6518 0.0971  1 Dy 3.29, 4 Nd 3.33-3.63
Dy 0.6625 0.9029 0.5547  1 Dy 3.29, 4 Nd 3.33-3.63
Dy 0.6625 0.4453 0.3482  1 Dy 3.29, 4 Nd 3.33-3.63
Dy 0.3375 0.3482 0.9029  1 Dy 3.29, 4 Nd 3.33-3.63
Dy 0.3375 0.0971 0.4453  1 Dy 3.29, 4 Nd 3.33-3.63
Dy 0.3375 0.5547 0.6518  1 Dy 3.29, 4 Nd 3.33-3.63
In 0.5000 0.0000 0.0000  6 Nd 3.20

Calculated values
DFT formation energy in eV per atom: 0.075
Space-group type: No. 147


# Rb2CePtS4

A relaxed structure of Rb2CePtS4 (PBE-GGA, Alexandria).

Cell lengths 6.7552, 6.7552, 6.7552 Å; angles 105.23, 111.63, 111.63 degrees
Last column: nearest neighbours and their distance in Å.
Element x y z (fractional)
Rb 0.5000 0.7500 0.2500  8 S 3.34-3.64
Rb 0.0000 0.0000 0.0000  4 S 3.24
Ce 0.5000 0.2500 0.7500  4 S 2.66
Pt 0.0000 0.5000 0.5000  4 S 2.35
S 0.5862 0.3001 0.4078  1 Pt 2.35
S 0.1076 0.2861 0.6999  1 Pt 2.35
S 0.8924 0.5922 0.1784  1 Pt 2.35
S 0.4138 0.8216 0.7139  1 Pt 2.35

Calculated values
Uncorrected formation energy in eV per atom: -1.07
Space-group type: No. 82


# AcPu3P

A relaxed structure of AcPu3P (PBE-GGA, Alexandria).

Cell lengths 5.4537, 5.4537, 5.4537 Å; angles 90.00, 90.00, 90.00 degrees
Last column: nearest neighbours and their distance in Å.
Element x y z (fractional)
P 0.0000 0.0000 0.0000  6 Pu 2.73
Ac 0.5000 0.5000 0.5000  12 Pu 3.86
Pu 0.0000 0.5000 0.0000  2 P 2.73
Pu 0.0000 0.0000 0.5000  2 P 2.73
Pu 0.5000 0.0000 0.0000  2 P 2.73

Calculated values
DFT formation energy in eV per atom: -0.066
Space-group type: No. 221


For each record above, in turn, the calculated V values are 33.290, 29.541, 32.442 Å³/atom.